A crystal of ZnRu2Cl relaxed with PBEsol. Source: Alexandria, functional SCAN.

Calculated values
Polymorph energy (0 for the lowest one), meV per atom: 0
Energy relative to the elements, uncorrected, meV per atom: 501.4
Symmetry: Cm (8)
Total energy, eV/atom: -22.285
Total magnetic moment, μB per formula unit: 0.0

Cell: 2.756 4.841 5.274 Å, 118.41 105.15 90.00°
Atoms (fractional coordinates):
Ru 0.006 0.070 0.012
Cl 0.287 0.791 0.575
Ru 0.726 0.107 0.452
Zn 0.481 0.531 0.962

A crystal of ZnRu2Cl relaxed with PBEsol. Source: Alexandria, functional SCAN.

Calculated values
Polymorph energy (0 for the lowest one), meV per atom: 209
Energy relative to the elements, uncorrected, meV per atom: 710.7
Symmetry: P4/mmm (123)
Total energy, eV/atom: -22.076
Total magnetic moment, μB per formula unit: 0.0

Cell: 2.911 4.285 4.285 Å, 90.00 90.00 90.00°
Atoms (fractional coordinates):
Zn 0.500 0.500 0.500
Ru 0.000 0.000 0.500
Cl 0.500 0.000 0.000
Ru 0.000 0.500 0.000

A crystal of ZnRuCl3 relaxed with PBEsol. Source: Alexandria, functional SCAN.

Calculated values
Energy relative to the elements, uncorrected, meV per atom: -95.7
Symmetry: Pm-3m (221)
Total energy, eV/atom: -14.551
Total magnetic moment, μB per formula unit: 0.3

Cell: 4.683 4.683 4.683 Å, 90.00 90.00 90.00°
Last column: magnetic moment on the atom in μB.
Atoms (fractional coordinates):
Cl 0.000 0.000 0.500  -0.02
Zn 0.500 0.500 0.500  -0.17
Cl 0.000 0.500 0.000  -0.02
Cl 0.500 0.000 0.000  -0.02
Ru 0.000 0.000 0.000  0.01

A crystal of ZnRu2Cl relaxed with PBEsol. Source: Alexandria, functional SCAN.

Calculated values
Polymorph energy (0 for the lowest one), meV per atom: 86
Energy relative to the elements, uncorrected, meV per atom: 587.5
Symmetry: Pmmm (47)
Total energy, eV/atom: -22.199
Total magnetic moment, μB per formula unit: 1.5

Cell: 2.750 4.327 4.771 Å, 90.00 90.00 90.00°
Last column: magnetic moment on the atom in μB.
Atoms (fractional coordinates):
Cl 0.000 0.500 0.500  0.02
Ru 0.500 0.000 0.500  0.50
Ru 0.000 0.000 0.000  1.01
Zn 0.500 0.500 0.000  -0.02

A crystal of ZrRuCl2 relaxed with PBEsol. Source: Alexandria, functional SCAN.

Calculated values
Polymorph energy (0 for the lowest one), meV per atom: 308
Energy relative to the elements, uncorrected, meV per atom: -442.4
Symmetry: R-3m (166)
Total energy, eV/atom: -20.813
Total magnetic moment, μB per formula unit: 0.0

Cell: 3.087 3.087 8.414 Å, 79.43 79.43 60.00°
Atoms (fractional coordinates):
Cl 0.092 0.092 0.725
Zr 0.500 0.500 0.500
Cl 0.908 0.908 0.275
Ru 0.000 0.000 0.000

A crystal of ZrRuCl2 relaxed with PBEsol. Source: Alexandria, functional SCAN.

Calculated values
Polymorph energy (0 for the lowest one), meV per atom: 619
Energy relative to the elements, uncorrected, meV per atom: -132.2
Symmetry: I-4m2 (119)
Total energy, eV/atom: -20.502
Total magnetic moment, μB per formula unit: 0.0

Cell: 3.693 3.693 5.335 Å, 110.25 110.25 90.00°
Atoms (fractional coordinates):
Zr 0.250 0.750 0.500
Cl 0.750 0.250 0.500
Ru 0.500 0.500 0.000
Cl 0.000 0.000 0.000

A crystal of ZrRu2Cl relaxed with PBEsol. Source: Alexandria, functional SCAN.

Calculated values
Polymorph energy (0 for the lowest one), meV per atom: 389
Energy relative to the elements, uncorrected, meV per atom: 177.5
Symmetry: C2/m (12)
Total energy, eV/atom: -26.905
Total magnetic moment, μB per formula unit: 0.0

Cell: 2.923 4.667 5.232 Å, 115.24 104.36 94.02°
Atoms (fractional coordinates):
Ru 0.000 0.000 0.500
Ru 0.500 0.500 0.500
Cl 0.500 0.000 0.000
Zr 0.000 0.500 0.000

A crystal of ZrRu2Cl relaxed with PBEsol. Source: Alexandria, functional SCAN.

Calculated values
Polymorph energy (0 for the lowest one), meV per atom: 332
Energy relative to the elements, uncorrected, meV per atom: 120.9
Symmetry: Pmmm (47)
Total energy, eV/atom: -26.961
Total magnetic moment, μB per formula unit: 0.0

Cell: 2.926 4.486 4.589 Å, 90.00 90.00 90.00°
Atoms (fractional coordinates):
Cl 0.000 0.500 0.500
Ru 0.500 0.000 0.500
Zr 0.500 0.500 0.000
Ru 0.000 0.000 0.000

Look up the energy relative to the elements, uncorrected of the fourth one.
587.5 meV per atom